This record from Alexandria describes an optimized crystal structure of KMg6Pb12. The functional is PBE-GGA.

Results
DFT formation energy (kJ/mol of formula units): -60
E (eV for the cell shown): -167.353
Crystal system: trigonal

CIF file:
```
data_KMg6Pb12
_chemical_formula_sum 'K3 Mg18 Pb36'
_space_group_name_H-M_alt 'R -3'
_space_group_IT_number 148
_space_group_name_Hall '-R 3'
_cell_length_a 15.0732
_cell_length_b 15.0732
_cell_length_c 8.3794
_cell_angle_alpha 90.00
_cell_angle_beta 90.00
_cell_angle_gamma 120.00
loop_
_atom_site_label
_atom_site_type_symbol
_atom_site_fract_x
_atom_site_fract_y
_atom_site_fract_z
K1 K 0.0000 0.0000 0.0000
Mg1 Mg 0.0303 0.7532 0.3252
Pb1 Pb 0.0074 0.8615 0.6558
Pb2 Pb 0.0597 0.5006 0.6749
```